This record from the Alexandria database describes a relaxed structure of Ca2OsCl. The functional is PBE.

The space group is P4mm (No. 99) and the conventional cell measures 3.247, 3.247 and 10.376 Å, with angles of 90.00, 90.00 and 90.00 degrees. The distinct sites, in fractional coordinates, are Ca at (0.000, 0.000, 0.000), Ca at (0.500, 0.500, 0.332), Os at (0.500, 0.500, 0.817) and Cl at (0.000, 0.000, 0.476).

The energy relative to the elements, uncorrected comes out at 0.15 eV/atom. Its raw total energy is -16.49 eV for the cell shown.


This record from the Alexandria database describes a relaxed structure of TcGe2Au. The functional is PBE.

The space group is R3m (No. 160, hexagonal axes) and the conventional cell measures 3.0587, 3.0587 and 25.2790 Å, with angles of 90.00, 90.00 and 120.00 degrees. The distinct sites, in fractional coordinates, are Tc at (0.0000, 0.0000, 0.0000), Ge at (0.0000, 0.0000, 0.4075), Ge at (0.0000, 0.0000, 0.5944) and Au at (0.0000, 0.0000, 0.8375).

Its raw total energy is -67.39 eV for the cell shown. The formation energy comes out at 0.10 eV/atom.


This record from the Alexandria database describes a relaxed structure of ReSiBr2. The functional is PBE.

The space group is F-43m (No. 216) and the conventional cell measures 6.737, 6.737 and 6.737 Å, with angles of 90.00, 90.00 and 90.00 degrees. The distinct sites, in fractional coordinates, are Re at (0.000, 0.000, 0.000), Si at (0.250, 0.250, 0.250), Br at (0.000, 0.000, 0.500) and Br at (0.250, 0.250, 0.750).

The energy relative to the elements, uncorrected comes out at 1.32 eV/atom. Its raw total energy is -63.78 eV for the cell shown.


This record from the Alexandria database describes a relaxed structure of BaLaMgSi2. The functional is PBE.

The space group is P4/mmm (No. 123) and the conventional cell measures 5.151, 5.151 and 5.504 Å, with angles of 90.00, 90.00 and 90.00 degrees. The distinct sites, in fractional coordinates, are Ba at (0.000, 0.000, 0.000), La at (0.500, 0.500, 0.000), Mg at (0.500, 0.500, 0.500) and Si at (0.000, 0.500, 0.500).

The energy relative to the elements, uncorrected comes out at 0.38 eV/atom. Its raw total energy is -17.37 eV for the cell shown.